GGA-PBE Tl2GaPbF8, relaxed; uncorrected energy = -4.236 eV/atom; SG = P-3m1; ΔE_f (raw) = -2.03 eV/atom; Fermi-level density of states = 0.341 states/eV/atom
1.0
-0.701 4.151 4.069
3.055 -4.836 1.248
5.735 3.070 -2.144
Pb F Ga Tl
1 8 1 2
direct
0.000 0.000 0.500 Pb
0.851 0.149 0.825 F
0.297 0.149 0.825 F
0.851 0.703 0.825 F
0.149 0.297 0.175 F
0.333 0.667 0.528 F
0.149 0.851 0.175 F
0.667 0.333 0.472 F
0.703 0.851 0.175 F
0.000 0.000 0.000 Ga
0.333 0.667 0.853 Tl
0.667 0.333 0.147 Tl

---

GGA-PBE Ca2SbPt, relaxed; uncorrected energy = -4.332 eV/atom; SG = Imm2; ΔE_f (raw) = -0.79 eV/atom; Fermi-level density of states = 0.332 states/eV/atom
1.0
-1.266 -5.192 3.980
2.113 -4.172 4.746
-1.436 1.458 4.390
Ca Sb Pt
2 1 1
direct
0.797 0.797 0.703 Ca
0.000 0.000 0.000 Ca
0.192 0.192 0.308 Sb
0.511 0.511 0.489 Pt